Compound: MnTl3Sb3S8
Source: Alexandria via LeMat-Bulk
Functional: PBE-GGA
Structure: optimized geometry

CIF file:
```
data_MnTl3Sb3S8
_cell_length_a 7.770
_cell_length_b 7.768
_cell_length_c 8.816
_cell_angle_alpha 116.14
_cell_angle_beta 90.01
_cell_angle_gamma 120.01
_space_group_name_H-M_alt 'P 1'
_space_group_IT_number 1
loop_
_space_group_symop_operation_xyz
'x,y,z'
loop_
_atom_site_label
_atom_site_type_symbol
_atom_site_fract_x
_atom_site_fract_y
_atom_site_fract_z
Mn1 Mn 0.000 0.000 0.500
Tl1 Tl 0.000 0.000 0.000
Tl2 Tl 0.000 0.500 0.000
Tl3 Tl 0.500 0.500 0.000
Sb1 Sb 0.500 0.000 0.500
Sb2 Sb 0.500 0.500 0.500
Sb3 Sb 0.000 0.500 0.500
S1 S 0.264 0.528 0.292
S2 S 0.736 0.472 0.708
S3 S 0.792 0.585 0.318
S4 S 0.208 0.415 0.682
S5 S 0.792 0.026 0.318
S6 S 0.208 0.974 0.682
S7 S 0.234 0.026 0.318
S8 S 0.766 0.974 0.682
```

## Properties
Symmetry: R-3m, No. 166
Final energy: -4.43 eV/atom

---

Compound: MnTl2Sb2S6
Source: Alexandria via LeMat-Bulk
Functional: PBE-GGA
Structure: optimized geometry

CIF file:
```
data_MnTl2Sb2S6
_cell_length_a 6.593
_cell_length_b 6.593
_cell_length_c 7.808
_cell_angle_alpha 98.88
_cell_angle_beta 98.88
_cell_angle_gamma 119.22
_space_group_name_H-M_alt 'P 1'
_space_group_IT_number 1
loop_
_space_group_symop_operation_xyz
'x,y,z'
loop_
_atom_site_label
_atom_site_type_symbol
_atom_site_fract_x
_atom_site_fract_y
_atom_site_fract_z
Mn1 Mn 0.000 0.000 0.500
Tl1 Tl 0.824 0.176 0.000
Tl2 Tl 0.176 0.824 0.000
Sb1 Sb 0.331 0.669 0.500
Sb2 Sb 0.669 0.331 0.500
S1 S 0.781 0.781 0.691
S2 S 0.067 0.362 0.688
S3 S 0.219 0.219 0.309
S4 S 0.362 0.067 0.688
S5 S 0.933 0.638 0.312
S6 S 0.638 0.933 0.312
```

## Properties
Symmetry: C2/m, No. 12
Final energy: -4.61 eV/atom

---

Compound: MnTl3Sb2S6
Source: Alexandria via LeMat-Bulk
Functional: PBE-GGA
Structure: optimized geometry

CIF file:
```
data_MnTl3Sb2S6
_cell_length_a 6.727
_cell_length_b 6.727
_cell_length_c 7.764
_cell_angle_alpha 98.79
_cell_angle_beta 98.79
_cell_angle_gamma 118.54
_space_group_name_H-M_alt 'P 1'
_space_group_IT_number 1
loop_
_space_group_symop_operation_xyz
'x,y,z'
loop_
_atom_site_label
_atom_site_type_symbol
_atom_site_fract_x
_atom_site_fract_y
_atom_site_fract_z
Mn1 Mn 0.000 0.000 0.000
Tl1 Tl 0.173 0.827 0.500
Tl2 Tl 0.827 0.173 0.500
Tl3 Tl 0.500 0.500 0.500
Sb1 Sb 0.335 0.665 0.000
Sb2 Sb 0.665 0.335 0.000
S1 S 0.940 0.641 0.817
S2 S 0.754 0.754 0.214
S3 S 0.060 0.359 0.183
S4 S 0.641 0.940 0.817
S5 S 0.246 0.246 0.786
S6 S 0.359 0.060 0.183
```

## Properties
Symmetry: C2/m, No. 12
Final energy: -4.46 eV/atom

---

Compound: MnTlSbS3
Source: Alexandria via LeMat-Bulk
Functional: PBE-GGA
Structure: optimized geometry

CIF file:
```
data_MnTlSbS3
_cell_length_a 4.023
_cell_length_b 9.145
_cell_length_c 9.422
_cell_angle_alpha 97.90
_cell_angle_beta 90.00
_cell_angle_gamma 90.00
_space_group_name_H-M_alt 'P 1'
_space_group_IT_number 1
loop_
_space_group_symop_operation_xyz
'x,y,z'
loop_
_atom_site_label
_atom_site_type_symbol
_atom_site_fract_x
_atom_site_fract_y
_atom_site_fract_z
Mn1 Mn 0.250 0.101 0.596
Mn2 Mn 0.750 0.899 0.404
Tl1 Tl 0.250 0.152 0.202
Tl2 Tl 0.750 0.848 0.798
Sb1 Sb 0.250 0.633 0.146
Sb2 Sb 0.750 0.367 0.854
S1 S 0.750 0.833 0.150
S2 S 0.250 0.167 0.850
S3 S 0.250 0.829 0.523
S4 S 0.750 0.171 0.477
S5 S 0.750 0.405 0.119
S6 S 0.250 0.595 0.881
```

## Properties
Symmetry: P2_1/m, No. 11
Final energy: -5.05 eV/atom

---

Compound: MnTl2SbS4
Source: Alexandria via LeMat-Bulk
Functional: PBE-GGA
Structure: optimized geometry

CIF file:
```
data_MnTl2SbS4
_cell_length_a 8.087
_cell_length_b 8.087
_cell_length_c 7.895
_cell_angle_alpha 119.22
_cell_angle_beta 119.22
_cell_angle_gamma 90.11
_space_group_name_H-M_alt 'P 1'
_space_group_IT_number 1
loop_
_space_group_symop_operation_xyz
'x,y,z'
loop_
_atom_site_label
_atom_site_type_symbol
_atom_site_fract_x
_atom_site_fract_y
_atom_site_fract_z
Mn1 Mn 0.000 0.500 0.000
Mn2 Mn 0.000 0.500 0.500
Tl1 Tl 0.500 0.000 0.000
Tl2 Tl 0.500 0.000 0.500
Tl3 Tl 0.000 0.000 0.500
Tl4 Tl 0.500 0.500 0.000
Sb1 Sb 0.500 0.500 0.500
Sb2 Sb 0.000 0.000 0.000
S1 S 0.192 0.713 0.953
S2 S 0.787 0.308 0.547
S3 S 0.213 0.692 0.453
S4 S 0.808 0.287 0.047
S5 S 0.773 0.727 0.981
S6 S 0.773 0.727 0.519
S7 S 0.227 0.273 0.481
S8 S 0.227 0.273 0.019
```

## Properties
Symmetry: Imma, No. 74
Final energy: -4.64 eV/atom

---

Compound: MnZnSbS4
Source: Alexandria via LeMat-Bulk
Functional: PBE-GGA
Structure: optimized geometry

CIF file:
```
data_MnZnSbS4
_cell_length_a 7.434
_cell_length_b 7.482
_cell_length_c 7.482
_cell_angle_alpha 60.03
_cell_angle_beta 60.21
_cell_angle_gamma 60.21
_space_group_name_H-M_alt 'P 1'
_space_group_IT_number 1
loop_
_space_group_symop_operation_xyz
'x,y,z'
loop_
_atom_site_label
_atom_site_type_symbol
_atom_site_fract_x
_atom_site_fract_y
_atom_site_fract_z
Mn1 Mn 0.500 0.000 0.500
Mn2 Mn 0.000 0.000 0.500
Zn1 Zn 0.633 0.617 0.117
Zn2 Zn 0.367 0.383 0.883
Sb1 Sb 0.000 0.000 0.000
Sb2 Sb 0.000 0.500 0.500
S1 S 0.748 0.776 0.729
S2 S 0.252 0.771 0.724
S3 S 0.748 0.229 0.276
S4 S 0.252 0.224 0.271
S5 S 0.241 0.767 0.267
S6 S 0.724 0.767 0.267
S7 S 0.276 0.233 0.733
S8 S 0.759 0.233 0.733
```

## Properties
Symmetry: Imma, No. 74
Final energy: -4.87 eV/atom

---

Compound: ScMn2S
Source: Alexandria via LeMat-Bulk
Functional: PBE-GGA
Structure: optimized geometry

CIF file:
```
data_ScMn2S
_cell_length_a 7.242
_cell_length_b 7.242
_cell_length_c 5.716
_cell_angle_alpha 50.70
_cell_angle_beta 50.70
_cell_angle_gamma 90.00
_space_group_name_H-M_alt 'P 1'
_space_group_IT_number 1
loop_
_space_group_symop_operation_xyz
'x,y,z'
loop_
_atom_site_label
_atom_site_type_symbol
_atom_site_fract_x
_atom_site_fract_y
_atom_site_fract_z
Sc1 Sc 0.000 0.000 0.000
Sc2 Sc 0.750 0.250 0.500
S1 S 0.500 0.500 0.000
S2 S 0.250 0.750 0.500
Mn1 Mn 0.548 0.125 0.250
Mn2 Mn 0.202 0.625 0.250
Mn3 Mn 0.375 0.452 0.750
Mn4 Mn 0.875 0.798 0.750
```

## Properties
Symmetry: I-42d, No. 122
Final energy: -7.36 eV/atom

---

Compound: ScMn2S2
Source: Alexandria via LeMat-Bulk
Functional: PBE-GGA
Structure: optimized geometry

CIF file:
```
data_ScMn2S2
_cell_length_a 6.902
_cell_length_b 6.902
_cell_length_c 3.228
_cell_angle_alpha 90.00
_cell_angle_beta 90.00
_cell_angle_gamma 90.00
_space_group_name_H-M_alt 'P 1'
_space_group_IT_number 1
loop_
_space_group_symop_operation_xyz
'x,y,z'
loop_
_atom_site_label
_atom_site_type_symbol
_atom_site_fract_x
_atom_site_fract_y
_atom_site_fract_z
Sc1 Sc 0.000 0.000 0.000
Sc2 Sc 0.500 0.500 0.000
S1 S 0.180 0.680 0.500
S2 S 0.680 0.820 0.500
S3 S 0.820 0.320 0.500
S4 S 0.320 0.180 0.500
Mn1 Mn 0.374 0.874 0.000
Mn2 Mn 0.874 0.626 0.000
Mn3 Mn 0.626 0.126 0.000
Mn4 Mn 0.126 0.374 0.000
```

## Properties
Energy above the most stable polymorph in this dataset: 233 meV per atom
Symmetry: P4/mbm, No. 127
Final energy: -6.86 eV/atom

---

Compound: ScMnS3
Source: Alexandria via LeMat-Bulk
Functional: PBE-GGA
Structure: optimized geometry

CIF file:
```
data_ScMnS3
_cell_length_a 4.862
_cell_length_b 4.862
_cell_length_c 4.862
_cell_angle_alpha 90.00
_cell_angle_beta 90.00
_cell_angle_gamma 90.00
_space_group_name_H-M_alt 'P 1'
_space_group_IT_number 1
loop_
_space_group_symop_operation_xyz
'x,y,z'
loop_
_atom_site_label
_atom_site_type_symbol
_atom_site_fract_x
_atom_site_fract_y
_atom_site_fract_z
Sc1 Sc 0.000 0.000 0.000
S1 S 0.000 0.500 0.000
S2 S 0.000 0.000 0.500
S3 S 0.500 0.000 0.000
Mn1 Mn 0.500 0.500 0.500
```

## Properties
Energy above the most stable polymorph in this dataset: 845 meV per atom
Symmetry: Pm-3m, No. 221
Final energy: -5.88 eV/atom

---

Number 1: magnetic moment 0.1979 μB/atom, formation energy (no corrections) -0.324 eV/atom. Number 2: magnetic moment 0.2756 μB/atom, formation energy (no corrections) -0.349 eV/atom. Number 3: magnetic moment 0.3326 μB/atom, formation energy (no corrections) -0.353 eV/atom. Number 4: magnetic moment 0.8341 μB/atom, formation energy (no corrections) -0.374 eV/atom. Number 5: magnetic moment 0.5186 μB/atom, formation energy (no corrections) -0.327 eV/atom. Number 6: magnetic moment 0.5748 μB/atom, formation energy (no corrections) -0.427 eV/atom. Number 7: magnetic moment 1.5203 μB/atom, formation energy (no corrections) -0.165 eV/atom. Number 8: magnetic moment 1.3393 μB/atom, formation energy (no corrections) -0.275 eV/atom. Number 9: magnetic moment 0.9427 μB/atom, formation energy (no corrections) -0.304 eV/atom.